The following is a DFT calculation (PBE+U) of an optimized crystal structure of Pm5V2O12.

Results
V   268.1 Å³/cell
Electronic total energy   -155.0 eV per cell

abc: 6.941 6.941 7.573
angles: 105.76 105.76 50.40
Positions (direct):
Pm: 0.000 0.000 0.000
Pm: 0.308 0.308 0.143
Pm: 0.310 0.310 0.667
Pm: 0.690 0.690 0.333
Pm: 0.692 0.692 0.857
V: 0.232 0.768 0.500
V: 0.768 0.232 0.500
O: 0.001 0.001 0.681
O: 0.096 0.595 0.922
O: 0.100 0.589 0.423
O: 0.405 0.904 0.078
O: 0.411 0.900 0.577
O: 0.500 0.500 0.330
O: 0.500 0.500 0.670
O: 0.589 0.100 0.423
O: 0.595 0.096 0.922
O: 0.900 0.411 0.577
O: 0.904 0.405 0.078
O: 0.999 0.999 0.319